First-principles (GGA-PBE) data for TaMo2 after structural relaxation, as listed in Alexandria.

Cell lengths 3.205, 13.701, 4.519 Å; angles 90.00, 90.00, 90.00 degrees
Space group Cmcm (No. 63)
Symmetry-distinct sites (fractional):
Ta: 0.000 0.083 0.250 (multiplicity 4)
Mo: 0.000 0.247 0.750 (multiplicity 4)
Mo: 0.000 0.413 0.250 (multiplicity 4)

The value obtained for the formation energy from the elements is -0.18 eV per atom.

First-principles (GGA-PBE) data for TaMo2 after structural relaxation, as listed in Alexandria.

Cell lengths 4.7431, 4.7431, 2.6088 Å; angles 90.00, 90.00, 120.00 degrees
Space group P6/mmm (No. 191)
Symmetry-distinct sites (fractional):
Ta: 0.0000 0.0000 0.0000 (multiplicity 1)
Mo: 0.3333 0.6667 0.5000 (multiplicity 2)

The value obtained for the formation energy from the elements is 0.28 eV per atom.

First-principles (GGA-PBE) data for Ta3Mo5 after structural relaxation, as listed in Alexandria.

Cell lengths 5.325, 4.571, 5.543 Å; angles 90.00, 100.31, 90.00 degrees
Space group P2/m (No. 10)
Symmetry-distinct sites (fractional):
Ta: 0.000 0.000 0.000 (multiplicity 1)
Ta: 0.248 0.500 0.870 (multiplicity 2)
Mo: 0.000 0.000 0.500 (multiplicity 1)
Mo: 0.254 0.500 0.375 (multiplicity 2)
Mo: 0.499 0.000 0.749 (multiplicity 2)

The value obtained for the formation energy from the elements is -0.12 eV per atom.

First-principles (GGA-PBE) data for TaMo2 after structural relaxation, as listed in Alexandria.

Cell lengths 3.205, 4.606, 13.477 Å; angles 90.00, 90.00, 90.00 degrees
Space group Cmme (No. 67)
Symmetry-distinct sites (fractional):
Ta: 0.000 0.250 0.089 (multiplicity 4)
Mo: 0.000 0.250 0.419 (multiplicity 4)
Mo: 0.000 0.250 0.743 (multiplicity 4)

The value obtained for the formation energy from the elements is -0.06 eV per atom.

First-principles (GGA-PBE) data for Ta2Mo5 after structural relaxation, as listed in Alexandria.

Cell lengths 2.793, 6.941, 6.952 Å; angles 118.16, 97.53, 97.71 degrees
Space group P-1 (No. 2)
Symmetry-distinct sites (fractional):
Ta: 0.206 0.355 0.281 (multiplicity 2)
Mo: 0.073 0.789 0.429 (multiplicity 2)
Mo: 0.363 0.927 0.145 (multiplicity 2)
Mo: 0.500 0.500 0.000 (multiplicity 1)

The value obtained for the formation energy from the elements is -0.12 eV per atom.

First-principles (GGA-PBE) data for Ta3Mo after structural relaxation, as listed in Alexandria.

Cell lengths 5.231, 5.231, 5.231 Å; angles 90.00, 90.00, 90.00 degrees
Space group Pm-3n (No. 223)
Symmetry-distinct sites (fractional):
Ta: 0.000 0.250 0.500 (multiplicity 6)
Mo: 0.000 0.000 0.000 (multiplicity 2)

The value obtained for the formation energy from the elements is 0.01 eV per atom.

First-principles (GGA-PBE) data for Ta3Mo5 after structural relaxation, as listed in Alexandria.

Cell lengths 5.308, 4.536, 5.606 Å; angles 90.00, 100.43, 90.00 degrees
Space group Pm (No. 6)
Symmetry-distinct sites (fractional):
Ta: 0.000 0.000 0.000 (multiplicity 1)
Ta: 0.006 0.000 0.500 (multiplicity 1)
Ta: 0.258 0.500 0.868 (multiplicity 1)
Mo: 0.257 0.500 0.370 (multiplicity 1)
Mo: 0.504 0.000 0.247 (multiplicity 1)
Mo: 0.508 0.000 0.747 (multiplicity 1)
Mo: 0.750 0.500 0.623 (multiplicity 1)
Mo: 0.758 0.500 0.127 (multiplicity 1)

The value obtained for the formation energy from the elements is -0.14 eV per atom.

First-principles (GGA-PBE) data for Ta2Mo after structural relaxation, as listed in Alexandria.

Cell lengths 4.656, 9.844, 4.541 Å; angles 90.00, 90.00, 90.00 degrees
Space group Cmmm (No. 65)
Symmetry-distinct sites (fractional):
Ta: 0.000 0.000 0.000 (multiplicity 2)
Ta: 0.000 0.171 0.500 (multiplicity 4)
Ta: 0.000 0.500 0.500 (multiplicity 2)
Mo: 0.000 0.331 0.000 (multiplicity 4)

The value obtained for the formation energy from the elements is -0.09 eV per atom.

First-principles (GGA-PBE) data for Ta3Mo5 after structural relaxation, as listed in Alexandria.

Cell lengths 2.819, 4.517, 10.494 Å; angles 90.00, 94.62, 90.00 degrees
Space group P2/m (No. 10)
Symmetry-distinct sites (fractional):
Ta: 0.000 0.000 0.000 (multiplicity 1)
Ta: 0.389 0.500 0.132 (multiplicity 2)
Mo: 0.125 0.500 0.380 (multiplicity 2)
Mo: 0.243 0.000 0.743 (multiplicity 2)
Mo: 0.500 0.000 0.500 (multiplicity 1)

The value obtained for the formation energy from the elements is -0.08 eV per atom.

First-principles (GGA-PBE) data for Ta3Mo5 after structural relaxation, as listed in Alexandria.

Cell lengths 3.216, 4.577, 18.097 Å; angles 90.00, 90.00, 90.00 degrees
Space group Imm2 (No. 44)
Symmetry-distinct sites (fractional):
Ta: 0.000 0.000 0.000 (multiplicity 2)
Ta: 0.000 0.000 0.497 (multiplicity 2)
Ta: 0.000 0.500 0.129 (multiplicity 2)
Mo: 0.000 0.000 0.251 (multiplicity 2)
Mo: 0.000 0.000 0.753 (multiplicity 2)
Mo: 0.000 0.500 0.373 (multiplicity 2)
Mo: 0.000 0.500 0.629 (multiplicity 2)
Mo: 0.000 0.500 0.873 (multiplicity 2)

The value obtained for the formation energy from the elements is -0.11 eV per atom.

First-principles (GGA-PBE) data for Ta3Mo5 after structural relaxation, as listed in Alexandria.

Cell lengths 4.540, 4.540, 12.900 Å; angles 90.00, 90.00, 90.00 degrees
Space group I4mm (No. 107)
Symmetry-distinct sites (fractional):
Ta: 0.000 0.000 0.000 (multiplicity 2)
Ta: 0.000 0.500 0.369 (multiplicity 4)
Mo: 0.000 0.000 0.242 (multiplicity 2)
Mo: 0.000 0.000 0.497 (multiplicity 2)
Mo: 0.000 0.000 0.744 (multiplicity 2)
Mo: 0.000 0.500 0.122 (multiplicity 4)

The value obtained for the formation energy from the elements is -0.14 eV per atom.

First-principles (GGA-PBE) data for Ta3Mo4 after structural relaxation, as listed in Alexandria.

Cell lengths 2.817, 6.968, 6.978 Å; angles 117.88, 96.91, 98.07 degrees
Space group P-1 (No. 2)
Symmetry-distinct sites (fractional):
Ta: 0.000 0.000 0.000 (multiplicity 1)
Ta: 0.414 0.716 0.568 (multiplicity 2)
Mo: 0.147 0.569 0.859 (multiplicity 2)
Mo: 0.284 0.146 0.717 (multiplicity 2)

The value obtained for the formation energy from the elements is -0.11 eV per atom.

First-principles (GGA-PBE) data for Ta3Mo2 after structural relaxation, as listed in Alexandria.

Cell lengths 4.5673, 4.5673, 14.2481 Å; angles 90.00, 90.00, 120.00 degrees
Space group R-3m (No. 166, hexagonal axes)
Symmetry-distinct sites (fractional):
Ta: 0.0000 0.0000 0.0000 (multiplicity 3)
Ta: 0.0000 0.0000 0.2066 (multiplicity 6)
Mo: 0.0000 0.0000 0.4027 (multiplicity 6)

The value obtained for the formation energy from the elements is -0.18 eV per atom.

Respective calculated total energy values: -34.05 -32.67 -90.69 -33.70 -78.68 -46.36 -90.81 -34.80 -90.33 -90.60 -90.84 -79.67 -58.10 eV per formula unit.